(1)
BeCSN2: optimized geometry, PBE-GGA.

The total DFT energy (no corrections) is -4.843 eV per atom. The value obtained for the energy above the most stable polymorph in this dataset is 383 meV/atom. For the uncorrected formation energy, the calculation gives 1.90 eV per atom.

The space group is P4/mmm (No. 123) and the conventional cell measures 3.0518, 3.0518 and 7.4800 Å, with angles of 90.00, 90.00 and 90.00 degrees. Symmetry generates all atoms from Be at (0.0000, 0.0000, 0.0000), C at (0.5000, 0.5000, 0.5000), S at (0.0000, 0.0000, 0.5000) and N at (0.0000, 0.5000, 0.0000).

=====

(2)
AsOs: optimized geometry, PBE-GGA.

The total DFT energy (no corrections) is -7.181 eV per atom.

The space group is Pm-3n (No. 223) and the conventional cell measures 6.7555, 6.7555 and 6.7555 Å, with angles of 90.00, 90.00 and 90.00 degrees. Symmetry generates all atoms from As at (0.0000, 0.2500, 0.5000) and Os at (0.0000, 0.5000, 0.2500).